(1)
## BeCd3 (GGA-PBE)

Data for a geometry-optimized BeCd3 structure.

The space group is C2/m. Its density of states at the Fermi level is 0.2988 states/eV/atom. The value obtained for the total moment is 0.000 μB/f.u.

a b c (Å): 4.275 4.275 4.863
angles (deg): 110.86 110.86 90.83
Fractional positions:
Be 0.000 0.000 0.000
Cd 0.238 0.762 0.500
Cd 0.500 0.500 0.000
Cd 0.762 0.238 0.500

(2)
## BeCd3 (GGA-PBE)

Data for a geometry-optimized BeCd3 structure.

The space group is P4/mmm. Its density of states at the Fermi level is 0.2575 states/eV/atom. The value obtained for the total moment is 0.000 μB/f.u.

a b c (Å): 3.045 3.045 8.139
angles (deg): 90.00 90.00 90.00
Fractional positions:
Be 0.000 0.000 0.000
Cd 0.000 0.000 0.500
Cd 0.500 0.500 0.199
Cd 0.500 0.500 0.801

Most stable one: (2), least stable one: (1).

(1)
## BeCd3 (GGA-PBE)

Data for a geometry-optimized BeCd3 structure.

The space group is Immm. Its density of states at the Fermi level is 0.2887 states/eV/atom. The value obtained for the total moment is 0.000 μB/f.u.

a b c (Å): 6.864 6.864 6.864
angles (deg): 156.14 143.00 44.51
Fractional positions:
Be 0.000 0.000 0.000
Cd 0.183 0.683 0.500
Cd 0.500 0.500 0.000
Cd 0.817 0.317 0.500

(2)
## BeCd3 (GGA-PBE)

Data for a geometry-optimized BeCd3 structure.

The space group is P-6m2. Its density of states at the Fermi level is 0.2444 states/eV/atom. The value obtained for the total moment is 0.000 μB/f.u.

a b c (Å): 3.107 3.107 8.939
angles (deg): 90.00 90.00 120.00
Fractional positions:
Be 0.000 0.000 0.000
Cd 0.000 0.000 0.500
Cd 0.667 0.333 0.213
Cd 0.667 0.333 0.787

Most stable one: (1), least stable one: (2).

(1)
## BeCd3 (GGA-PBE)

Data for a geometry-optimized BeCd3 structure.

The space group is Cmcm. Its density of states at the Fermi level is 0.2255 states/eV/atom. The value obtained for the total moment is 0.000 μB/f.u.

a b c (Å): 6.646 6.646 4.402
angles (deg): 90.00 90.00 127.77
Fractional positions:
Be 0.133 0.867 0.750
Be 0.867 0.133 0.250
Cd 0.161 0.332 0.750
Cd 0.307 0.693 0.250
Cd 0.332 0.161 0.250
Cd 0.668 0.839 0.750
Cd 0.693 0.307 0.750
Cd 0.839 0.668 0.250

(2)
## BeCd3 (GGA-PBE)

Data for a geometry-optimized BeCd3 structure.

The space group is Pm-3n. Its density of states at the Fermi level is 0.3047 states/eV/atom. The value obtained for the total moment is 0.000 μB/f.u.

a b c (Å): 5.365 5.365 5.365
angles (deg): 90.00 90.00 90.00
Fractional positions:
Be 0.000 0.000 0.000
Be 0.500 0.500 0.500
Cd 0.000 0.250 0.500
Cd 0.000 0.750 0.500
Cd 0.250 0.500 0.000
Cd 0.500 0.000 0.250
Cd 0.500 0.000 0.750
Cd 0.750 0.500 0.000

Most stable one: (1), least stable one: (2).

(1)
## Be4Cd3 (GGA-PBE)

Data for a geometry-optimized Be4Cd3 structure.

The space group is I4/mmm. Its density of states at the Fermi level is 0.2764 states/eV/atom. The value obtained for the total moment is 0.000 μB/f.u.

a b c (Å): 13.002 13.002 13.002
angles (deg): 167.60 167.60 17.57
Fractional positions:
Be 0.077 0.077 0.000
Be 0.382 0.382 0.000
Be 0.618 0.618 0.000
Be 0.923 0.923 0.000
Cd 0.195 0.195 0.000
Cd 0.500 0.500 0.000
Cd 0.805 0.805 0.000

(2)
## Be4Cd3 (GGA-PBE)

Data for a geometry-optimized Be4Cd3 structure.

The space group is P6/mmm. Its density of states at the Fermi level is 0.3880 states/eV/atom. The value obtained for the total moment is 0.000 μB/f.u.

a b c (Å): 5.552 5.552 4.242
angles (deg): 90.00 90.00 120.00
Fractional positions:
Be 0.000 0.000 0.245
Be 0.000 0.000 0.755
Be 0.333 0.667 0.000
Be 0.667 0.333 0.000
Cd 0.000 0.500 0.500
Cd 0.500 0.000 0.500
Cd 0.500 0.500 0.500

Most stable one: (1), least stable one: (2).

(1)
## Be3Cd4 (GGA-PBE)

Data for a geometry-optimized Be3Cd4 structure.

The space group is P6/mmm. Its density of states at the Fermi level is 0.3700 states/eV/atom. The value obtained for the total moment is 0.000 μB/f.u.

a b c (Å): 4.735 4.735 5.972
angles (deg): 90.00 90.00 120.00
Fractional positions:
Be 0.000 0.500 0.000
Be 0.500 0.000 0.000
Be 0.500 0.500 0.000
Cd 0.000 0.000 0.238
Cd 0.000 0.000 0.762
Cd 0.333 0.667 0.500
Cd 0.667 0.333 0.500

(2)
## Be3Cd4 (GGA-PBE)

Data for a geometry-optimized Be3Cd4 structure.

The space group is I4/mmm. Its density of states at the Fermi level is 0.2914 states/eV/atom. The value obtained for the total moment is 0.000 μB/f.u.

a b c (Å): 13.592 13.592 13.592
angles (deg): 167.68 167.68 17.45
Fractional positions:
Be 0.000 0.000 0.000
Be 0.268 0.268 0.000
Be 0.732 0.732 0.000
Cd 0.161 0.161 0.000
Cd 0.435 0.435 0.000
Cd 0.565 0.565 0.000
Cd 0.839 0.839 0.000

Most stable one: (1), least stable one: (2).

(1)
## Be2CdCl (GGA-PBE)

Data for a geometry-optimized Be2CdCl structure.

The space group is P4mm. Its density of states at the Fermi level is 0.1995 states/eV/atom. The value obtained for the total moment is 0.000 μB/f.u.

a b c (Å): 2.969 2.969 7.834
angles (deg): 90.00 90.00 90.00
Fractional positions:
Be 0.000 0.000 0.000
Be 0.500 0.500 0.118
Cd 0.000 0.000 0.368
Cl 0.500 0.500 0.816

(2)
## Be2CdCl (GGA-PBE)

Data for a geometry-optimized Be2CdCl structure.

The space group is Cmmm. Its density of states at the Fermi level is 0.3039 states/eV/atom. The value obtained for the total moment is 0.000 μB/f.u.

a b c (Å): 4.813 4.813 2.808
angles (deg): 90.00 90.00 98.71
Fractional positions:
Be 0.000 0.500 0.000
Be 0.500 0.000 0.000
Cd 0.000 0.000 0.500
Cl 0.500 0.500 0.500

(3)
## Be2CdCl (GGA-PBE)

Data for a geometry-optimized Be2CdCl structure.

The space group is I-42d. Its density of states at the Fermi level is 0.7059 states/eV/atom. The value obtained for the total moment is 0.000 μB/f.u.

a b c (Å): 6.075 6.075 6.075
angles (deg): 123.70 123.70 83.70
Fractional positions:
Be 0.096 0.625 0.971
Be 0.375 0.346 0.471
Be 0.654 0.125 0.029
Be 0.875 0.904 0.529
Cd 0.250 0.750 0.500
Cd 0.500 0.500 0.000
Cl 0.000 0.000 0.000
Cl 0.750 0.250 0.500

Most stable one: (1), least stable one: (2).

(1)
## Be2CdCl (GGA-PBE)

Data for a geometry-optimized Be2CdCl structure.

The space group is P4/mmm. Its density of states at the Fermi level is 0.1280 states/eV/atom. The value obtained for the total moment is 0.000 μB/f.u.

a b c (Å): 2.983 2.983 7.092
angles (deg): 90.00 90.00 90.00
Fractional positions:
Be 0.000 0.000 0.236
Be 0.000 0.000 0.764
Cd 0.500 0.500 0.000
Cl 0.500 0.500 0.500

(2)
## Be2CdCl (GGA-PBE)

Data for a geometry-optimized Be2CdCl structure.

The space group is Cmmm. Its density of states at the Fermi level is 0.2924 states/eV/atom. The value obtained for the total moment is 0.000 μB/f.u.

a b c (Å): 3.277 3.277 7.574
angles (deg): 90.00 90.00 125.17
Fractional positions:
Be 0.000 0.000 0.235
Be 0.000 0.000 0.765
Cd 0.500 0.500 0.500
Cl 0.500 0.500 0.000

Most stable one: (2), least stable one: (1).

(1)
## Be2CdCl (GGA-PBE)

Data for a geometry-optimized Be2CdCl structure.

The space group is I4/mmm. Its density of states at the Fermi level is 0.4840 states/eV/atom. The value obtained for the total moment is 0.000 μB/f.u.

a b c (Å): 5.528 5.528 5.528
angles (deg): 139.32 139.32 58.89
Fractional positions:
Be 0.250 0.750 0.500
Be 0.750 0.250 0.500
Cd 0.000 0.000 0.000
Cl 0.500 0.500 0.000

(2)
## Be2CdCl (GGA-PBE)

Data for a geometry-optimized Be2CdCl structure.

The space group is Cmm2. Its density of states at the Fermi level is 0.2956 states/eV/atom. The value obtained for the total moment is 0.000 μB/f.u.

a b c (Å): 3.211 3.211 9.621
angles (deg): 90.00 90.00 127.03
Fractional positions:
Be 0.000 0.000 0.000
Be 0.500 0.500 0.186
Cd 0.000 0.000 0.413
Cl 0.500 0.500 0.855

(3)
## Be2CdCl (GGA-PBE)

Data for a geometry-optimized Be2CdCl structure.

The space group is Fm-3m. Its density of states at the Fermi level is 1.1702 states/eV/atom. The value obtained for the total moment is 0.000 μB/f.u.

a b c (Å): 4.680 4.680 4.680
angles (deg): 60.00 60.00 60.00
Fractional positions:
Be 0.250 0.250 0.250
Be 0.750 0.750 0.750
Cd 0.000 0.000 0.000
Cl 0.500 0.500 0.500

Most stable one: (2), least stable one: (3).